An optimized crystal structure of AlNi3, computed with GGA-PBEsol.

The crystal system is orthorhombic. Its energy is -6.013 eV/atom.

It has space group Cmmm (No. 65), with a = 5.081 Å, b = 6.473 Å, c = 2.656 Å, α = 90.00°, β = 90.00° and γ = 90.00°. The distinct sites, in fractional coordinates, are Al at (0.000, 0.000, 0.000), Ni at (0.000, 0.500, 0.000) and Ni at (0.250, 0.250, 0.500).



An optimized crystal structure of ErMg3, computed with GGA-PBEsol.

The crystal system is hexagonal. Its energy is -2.565 eV/atom.

It has space group P6_3/mmc (No. 194), with a = 6.5803 Å, b = 6.5803 Å, c = 5.1268 Å, α = 90.00°, β = 90.00° and γ = 120.00°. The distinct sites, in fractional coordinates, are Er at (0.3333, 0.6667, 0.2500) and Mg at (0.1642, 0.3285, 0.7500).



Repeat the first record exactly.
An optimized crystal structure of AlNi3, computed with GGA-PBEsol.

The crystal system is orthorhombic. Its energy is -6.013 eV/atom.

It has space group Cmmm (No. 65), with a = 5.081 Å, b = 6.473 Å, c = 2.656 Å, α = 90.00°, β = 90.00° and γ = 90.00°. The distinct sites, in fractional coordinates, are Al at (0.000, 0.000, 0.000), Ni at (0.000, 0.500, 0.000) and Ni at (0.250, 0.250, 0.500).



What did the first record say?
An optimized crystal structure of AlNi3, computed with GGA-PBEsol.

The crystal system is orthorhombic. Its energy is -6.013 eV/atom.

It has space group Cmmm (No. 65), with a = 5.081 Å, b = 6.473 Å, c = 2.656 Å, α = 90.00°, β = 90.00° and γ = 90.00°. The distinct sites, in fractional coordinates, are Al at (0.000, 0.000, 0.000), Ni at (0.000, 0.500, 0.000) and Ni at (0.250, 0.250, 0.500).



- Among the records above, which one has the lowest energy?
  AlNi3